The following is a GGA-PBEsol calculation of a relaxed structure of Cu2O3, from Alexandria via LeMat-Bulk.

Cell lengths 7.477, 3.500, 9.798 Å; angles 90.00, 106.73, 90.00 degrees
Space group P2_1/c (No. 14)
Asymmetric unit:
1 Cu 0.013 0.127 0.373 x4
2 Cu 0.356 0.059 0.756 x4
3 O 0.133 0.198 0.561 x4
4 O 0.138 0.509 0.309 x4
5 O 0.424 0.560 0.797 x4

## Properties
* formation energy (no corrections): -0.36 eV per atom
* calculated total energy: -5.245 eV/atom
* calculated volume: 245.59 Å³ per cell

***

The following is a GGA-PBEsol calculation of a relaxed structure of CdBr, from Alexandria via LeMat-Bulk.

Cell lengths 7.339, 7.339, 7.339 Å; angles 90.00, 90.00, 90.00 degrees
Space group Fd-3m (No. 227, origin choice 2)
Asymmetric unit:
1 Cd 0.125 0.125 0.125 x8
2 Br 0.125 0.125 0.625 x8

## Properties
* formation energy (no corrections): 0.00 eV per atom
* calculated total energy: -1.531 eV/atom
* calculated volume: 395.26 Å³ per cell

***

The following is a GGA-PBEsol calculation of a relaxed structure of PPt2Pb, from Alexandria via LeMat-Bulk.

Cell lengths 5.535, 7.303, 3.687 Å; angles 90.00, 90.00, 90.00 degrees
Space group Cmmm (No. 65)
Asymmetric unit:
1 P 0.000 0.000 0.000 x2
2 Pt 0.000 0.200 0.500 x4
3 Pb 0.000 0.500 0.000 x2

## Properties
* calculated total energy: -6.010 eV/atom
* calculated volume: 149.03 Å³ per cell

***

The following is a GGA-PBEsol calculation of a relaxed structure of Cu3SnP, from Alexandria via LeMat-Bulk.

Cell lengths 4.378, 4.378, 4.378 Å; angles 90.00, 90.00, 90.00 degrees
Space group Pm-3m (No. 221)
Asymmetric unit:
1 Cu 0.000 0.000 0.500 x3
2 Sn 0.500 0.500 0.500 x1
3 P 0.000 0.000 0.000 x1

## Properties
* calculated total energy: -4.346 eV/atom
* calculated volume: 83.89 Å³ per cell

***

The following is a GGA-PBEsol calculation of a relaxed structure of AgAu3, from Alexandria via LeMat-Bulk.

Cell lengths 9.516, 2.876, 4.981 Å; angles 90.00, 99.65, 90.00 degrees
Space group C2/m (No. 12)
Asymmetric unit:
1 Ag 0.000 0.000 0.000 x2
2 Au 0.000 0.500 0.500 x2
3 Au 0.250 0.000 0.751 x4

## Properties
* relative energy among the computed polymorphs: 0.011 eV per atom
* calculated total energy: -3.806 eV/atom
* calculated volume: 134.36 Å³ per cell

***

The following is a GGA-PBEsol calculation of a relaxed structure of HfSb3Pb, from Alexandria via LeMat-Bulk.

Cell lengths 5.443, 5.443, 5.443 Å; angles 90.00, 90.00, 90.00 degrees
Space group Pm-3m (No. 221)
Asymmetric unit:
1 Hf 0.000 0.000 0.000 x1
2 Sb 0.000 0.000 0.500 x3
3 Pb 0.500 0.500 0.500 x1

## Properties
* formation energy (no corrections): 0.25 eV per atom
* relative energy among the computed polymorphs: 0.000 eV per atom
* calculated total energy: -5.389 eV/atom
* calculated volume: 161.27 Å³ per cell